A relaxed structure of AgBiPb2Se. Source: the Alexandria database, functional PBE.

```
5
Lattice="5.825 0.000 0.000 0.000 4.881 0.000 0.000 0.000 5.825" Properties=species:S:1:pos:R:3 pbc="T T T"
Pb 0.000 0.000 2.912
Pb 2.912 0.000 0.000
Se 0.000 0.000 0.000
Bi 2.912 2.441 2.912
Ag 0.000 2.441 0.000
```

Properties
formation energy without anion corrections: 0.15 eV/atom
total DFT energy (no corrections): -3.376 eV per atom